Entry one
Density functional theory data (PBE) for an optimized crystal structure of BiWC3.

Geometry as POSCAR:
```
BiWC3
1.0
4.1653 0.0000 0.0000
0.0000 4.1653 0.0000
0.0000 0.0000 4.1653
Bi W C
1 1 3
Direct
0.0000 0.0000 0.0000 Bi
0.5000 0.5000 0.5000 W
0.0000 0.5000 0.5000 C
0.5000 0.0000 0.5000 C
0.5000 0.5000 0.0000 C
```

Summary:
Total magnetization = 0.00 μB per cell
Space-group type = Pm-3m (221)
N(E_F) = 0.69 states/eV/atom
Density = 9.9 g cm⁻³

=====

Entry two
Density functional theory data (PBE) for an optimized crystal structure of BiWC3.

Geometry as POSCAR:
```
BiWC3
1.0
4.2798 0.0000 0.0000
0.0000 4.2798 0.0000
0.0000 0.0000 4.2798
Bi W C
1 1 3
Direct
0.0000 0.0000 0.0000 Bi
0.5000 0.5000 0.5000 W
0.0000 0.0000 0.5000 C
0.0000 0.5000 0.0000 C
0.5000 0.0000 0.0000 C
```

Summary:
Total magnetization = 0.00 μB per cell
Space-group type = Pm-3m (221)
N(E_F) = 1.13 states/eV/atom
Density = 9.1 g cm⁻³

=====

Least stable = entry two

=====

Entry one
Density functional theory data (PBE) for an optimized crystal structure of Y4Bi2C.

Geometry as POSCAR:
```
Y4Bi2C
1.0
7.0128 0.0000 0.0000
0.0000 6.7772 0.0000
-2.8112 0.0000 8.3948
Y Bi C
8 4 2
Direct
0.0009 0.0017 0.2711 Y
0.0009 0.4983 0.2711 Y
0.3771 0.7500 0.0641 Y
0.4137 0.7500 0.6380 Y
0.5863 0.2500 0.3620 Y
0.6229 0.2500 0.9359 Y
0.9991 0.5017 0.7289 Y
0.9991 0.9983 0.7289 Y
0.2197 0.2500 0.0468 Bi
0.2886 0.2500 0.5767 Bi
0.7114 0.7500 0.4233 Bi
0.7803 0.7500 0.9532 Bi
0.2173 0.7500 0.7988 C
0.7827 0.2500 0.2012 C
```

Summary:
Total magnetization = 0.00 μB per cell
Space-group type = P2_1/m (11)
N(E_F) = 0.61 states/eV/atom
Density = 6.5 g cm⁻³

=====

Entry two
Density functional theory data (PBE) for an optimized crystal structure of Y4Bi2C.

Geometry as POSCAR:
```
Y4Bi2C
1.0
-2.4313 2.4313 8.0178
2.4313 -2.4313 8.0178
2.4313 2.4313 -8.0178
Y Bi C
4 2 1
Direct
0.0000 0.5000 0.5000 Y
0.1535 0.1535 0.0000 Y
0.5000 0.0000 0.5000 Y
0.8465 0.8465 0.0000 Y
0.3554 0.3554 0.0000 Bi
0.6446 0.6446 0.0000 Bi
0.0000 0.0000 0.0000 C
```

Summary:
Total magnetization = 0.00 μB per cell
Space-group type = I4/mmm (139)
N(E_F) = 0.83 states/eV/atom
Density = 6.9 g cm⁻³

=====

Least stable = entry one

=====

Entry one
Density functional theory data (PBE) for an optimized crystal structure of Zn2BiC.

Geometry as POSCAR:
```
Zn2BiC
1.0
-3.1110 3.1110 4.4123
3.1110 -3.1110 4.4123
3.1110 3.1110 -4.4123
Zn Bi C
4 2 2
Direct
0.3750 0.1398 0.2648 Zn
0.8602 0.1250 0.2352 Zn
0.8750 0.1102 0.7352 Zn
0.8898 0.6250 0.7648 Zn
0.2500 0.7500 0.5000 Bi
0.5000 0.5000 0.0000 Bi
0.0000 0.0000 0.0000 C
0.7500 0.2500 0.5000 C
```

Summary:
Total magnetization = 0.00 μB per cell
Space-group type = I-42d (122)
N(E_F) = 0.11 states/eV/atom
Density = 6.8 g cm⁻³

=====

Entry two
Density functional theory data (PBE) for an optimized crystal structure of Zn2BiC.

Geometry as POSCAR:
```
Zn2BiC
1.0
0.0000 3.3017 3.3017
3.3017 0.0000 3.3017
3.3017 3.3017 0.0000
Zn Bi C
2 1 1
Direct
0.2500 0.2500 0.2500 Zn
0.7500 0.7500 0.7500 Zn
0.0000 0.0000 0.0000 Bi
0.5000 0.5000 0.5000 C
```

Summary:
Total magnetization = 0.00 μB per cell
Space-group type = Fm-3m (225)
N(E_F) = 0.47 states/eV/atom
Density = 8.1 g cm⁻³

=====

Least stable = entry two

=====

Entry one
Density functional theory data (PBE) for an optimized crystal structure of ZnBi3C.

Geometry as POSCAR:
```
ZnBi3C
1.0
5.0160 0.0000 0.0000
0.0000 5.0160 0.0000
0.0000 0.0000 5.0160
Zn Bi C
1 3 1
Direct
0.0000 0.0000 0.0000 Zn
0.0000 0.5000 0.5000 Bi
0.5000 0.0000 0.5000 Bi
0.5000 0.5000 0.0000 Bi
0.5000 0.5000 0.5000 C
```

Summary:
Total magnetization = 0.00 μB per cell
Space-group type = Pm-3m (221)
N(E_F) = 0.88 states/eV/atom
Density = 9.3 g cm⁻³

=====

Entry two
Density functional theory data (PBE) for an optimized crystal structure of ZnBi3C.

Geometry as POSCAR:
```
ZnBi3C
1.0
5.3718 0.0000 0.0000
0.0000 5.3718 0.0000
0.0000 0.0000 5.3718
Zn Bi C
1 3 1
Direct
0.0000 0.0000 0.0000 Zn
0.0000 0.0000 0.5000 Bi
0.0000 0.5000 0.0000 Bi
0.5000 0.0000 0.0000 Bi
0.5000 0.5000 0.5000 C
```

Summary:
Total magnetization = 1.33 μB per cell
Space-group type = Pm-3m (221)
N(E_F) = 1.40 states/eV/atom
Density = 7.5 g cm⁻³

=====

Least stable = entry two

=====

Entry one
Density functional theory data (PBE) for an optimized crystal structure of ZnBiC3.

Geometry as POSCAR:
```
ZnBiC3
1.0
4.0978 0.0000 0.0000
0.0000 4.0978 0.0000
0.0000 0.0000 4.0978
Zn Bi C
1 1 3
Direct
0.0000 0.0000 0.0000 Zn
0.5000 0.5000 0.5000 Bi
0.0000 0.0000 0.5000 C
0.0000 0.5000 0.0000 C
0.5000 0.0000 0.0000 C
```

Summary:
Total magnetization = 0.00 μB per cell
Space-group type = Pm-3m (221)
N(E_F) = 1.03 states/eV/atom
Density = 7.5 g cm⁻³

=====

Entry two
Density functional theory data (PBE) for an optimized crystal structure of ZnBiC3.

Geometry as POSCAR:
```
ZnBiC3
1.0
4.5438 0.0000 0.0000
0.0000 4.5438 0.0000
0.0000 0.0000 4.5438
Zn Bi C
1 1 3
Direct
0.0000 0.0000 0.0000 Zn
0.5000 0.5000 0.5000 Bi
0.0000 0.5000 0.5000 C
0.5000 0.0000 0.5000 C
0.5000 0.5000 0.0000 C
```

Summary:
Total magnetization = 2.48 μB per cell
Space-group type = Pm-3m (221)
N(E_F) = 0.96 states/eV/atom
Density = 5.5 g cm⁻³

=====

Least stable = entry two

=====

Entry one
Density functional theory data (PBE) for an optimized crystal structure of Zr4Bi2C.

Geometry as POSCAR:
```
Zr4Bi2C
1.0
7.0083 0.0000 0.0000
0.0000 6.2527 0.0000
-2.0349 0.0000 7.3498
Zr Bi C
8 4 2
Direct
0.0175 0.0008 0.2595 Zr
0.0175 0.4992 0.2595 Zr
0.3566 0.2500 0.0776 Zr
0.3734 0.2500 0.6102 Zr
0.6266 0.7500 0.3898 Zr
0.6434 0.7500 0.9224 Zr
0.9825 0.5008 0.7405 Zr
0.9825 0.9992 0.7405 Zr
0.2663 0.7500 0.0590 Bi
0.2814 0.7500 0.5742 Bi
0.7186 0.2500 0.4258 Bi
0.7337 0.2500 0.9410 Bi
0.2016 0.2500 0.7994 C
0.7984 0.7500 0.2006 C
```

Summary:
Total magnetization = 0.00 μB per cell
Space-group type = P2_1/m (11)
N(E_F) = 0.62 states/eV/atom
Density = 8.2 g cm⁻³

=====

Entry two
Density functional theory data (PBE) for an optimized crystal structure of Zr4Bi2C.

Geometry as POSCAR:
```
Zr4Bi2C
1.0
-2.2604 2.2604 7.7101
2.2604 -2.2604 7.7101
2.2604 2.2604 -7.7101
Zr Bi C
4 2 1
Direct
0.0000 0.5000 0.5000 Zr
0.1487 0.1487 0.0000 Zr
0.5000 0.0000 0.5000 Zr
0.8513 0.8513 0.0000 Zr
0.3505 0.3505 0.0000 Bi
0.6495 0.6495 0.0000 Bi
0.0000 0.0000 0.0000 C
```

Summary:
Total magnetization = 0.00 μB per cell
Space-group type = I4/mmm (139)
N(E_F) = 0.80 states/eV/atom
Density = 8.4 g cm⁻³

=====

Least stable = entry one

=====

Entry one
Density functional theory data (PBE) for an optimized crystal structure of Ca3Bi.

Geometry as POSCAR:
```
Ca3Bi
1.0
-2.4676 2.4676 5.5880
2.4676 -2.4676 5.5880
2.4676 2.4676 -5.5880
Ca Bi
3 1
Direct
0.0000 0.0000 0.0000 Ca
0.2500 0.7500 0.5000 Ca
0.7500 0.2500 0.5000 Ca
0.5000 0.5000 0.0000 Bi
```

Summary:
Total magnetization = 0.81 μB per cell
Space-group type = I4/mmm (139)
N(E_F) = 0.98 states/eV/atom
Density = 4.0 g cm⁻³

=====

Entry two
Density functional theory data (PBE) for an optimized crystal structure of Ca3Bi.

Geometry as POSCAR:
```
Ca3Bi
1.0
5.1081 0.0000 0.0000
0.0000 5.1081 0.0000
0.0000 0.0000 5.1081
Ca Bi
3 1
Direct
0.0000 0.0000 0.5000 Ca
0.0000 0.5000 0.0000 Ca
0.5000 0.0000 0.0000 Ca
0.5000 0.5000 0.5000 Bi
```

Summary:
Total magnetization = 0.00 μB per cell
Space-group type = Pm-3m (221)
N(E_F) = 0.69 states/eV/atom
Density = 4.1 g cm⁻³

=====

Least stable = entry one

=====

Entry one
Density functional theory data (PBE) for an optimized crystal structure of CaCd3Bi3.

Geometry as POSCAR:
```
CaCd3Bi3
1.0
8.1905 0.0000 0.0000
0.0000 8.1905 0.0000
0.0000 0.0000 8.1905
Ca Cd Bi
2 6 6
Direct
0.0000 0.0000 0.0000 Ca
0.5000 0.5000 0.5000 Ca
0.0000 0.2500 0.5000 Cd
0.0000 0.7500 0.5000 Cd
0.2500 0.5000 0.0000 Cd
0.5000 0.0000 0.2500 Cd
0.5000 0.0000 0.7500 Cd
0.7500 0.5000 0.0000 Cd
0.0000 0.5000 0.2500 Bi
0.0000 0.5000 0.7500 Bi
0.2500 0.0000 0.5000 Bi
0.5000 0.2500 0.0000 Bi
0.5000 0.7500 0.0000 Bi
0.7500 0.0000 0.5000 Bi
```

Summary:
Total magnetization = 0.00 μB per cell
Space-group type = Pm-3n (223)
N(E_F) = 0.64 states/eV/atom
Density = 6.1 g cm⁻³

=====

Entry two
Density functional theory data (PBE) for an optimized crystal structure of CaCd3Bi3.

Geometry as POSCAR:
```
CaCd3Bi3
1.0
12.8648 0.0000 0.0000
-6.4324 11.1412 0.0000
0.0000 0.0000 3.5639
Ca Cd Bi
2 6 6
Direct
0.3333 0.6667 0.2500 Ca
0.6667 0.3333 0.7500 Ca
0.0845 0.4722 0.7500 Cd
0.3877 0.9155 0.7500 Cd
0.4722 0.3877 0.2500 Cd
0.5278 0.6123 0.7500 Cd
0.6123 0.0845 0.2500 Cd
0.9155 0.5278 0.2500 Cd
0.1221 0.7282 0.7500 Bi
0.2718 0.3939 0.7500 Bi
0.3939 0.1221 0.2500 Bi
0.6061 0.8779 0.7500 Bi
0.7282 0.6061 0.2500 Bi
0.8779 0.2718 0.2500 Bi
```

Summary:
Total magnetization = 0.00 μB per cell
Space-group type = P6_3/m (176)
N(E_F) = 0.28 states/eV/atom
Density = 6.5 g cm⁻³

=====

Least stable = entry one